Tb4Pm2N PBE relaxed; space group = I4/mmm (139); total magnetic moment = 0.00 Bohr magnetons per cell; E_form (uncorrected) = -0.28 eV per atom
1.0
-2.412 2.412 8.907
2.412 -2.412 8.907
2.412 2.412 -8.907
Tb Pm N
4 2 1
Direct
0.000 0.500 0.500
0.132 0.132 0.000
0.500 0.000 0.500
0.868 0.868 0.000
0.328 0.328 0.000
0.672 0.672 0.000
0.000 0.000 0.000

***

KTe3F PBE relaxed; space group = Pm-3m (221); total magnetic moment = 0.00 Bohr magnetons per cell; E_form (uncorrected) = -0.43 eV per atom; offset from the most stable computed form = 0.0000 eV/atom
1.0
5.119 0.000 0.000
0.000 5.119 0.000
0.000 0.000 5.119
K Te F
1 3 1
Direct
0.000 0.000 0.000
0.000 0.500 0.500
0.500 0.000 0.500
0.500 0.500 0.000
0.500 0.500 0.500

***

- What is the total magnetic moment in the first record?
  0.00 Bohr magnetons per cell

***

- What is the total magnetic moment in the second record?
  0.00 Bohr magnetons per cell

***

- Which of these has the lowest E_form (uncorrected)?
  KTe3F